Compound: InSb2AsI
Source: Alexandria via LeMat-Bulk
Functional: PBE
Structure: optimized geometry

Cell: 5.7290 5.7290 5.6937 Å, 90.00 90.00 90.00°
Each line ends with the local moment (μB).
Atoms (fractional coordinates):
I 0.0000 0.0000 0.5000  0.00
Sb 0.5000 0.0000 0.0000  -0.25
Sb 0.0000 0.5000 0.0000  -0.25
As 0.5000 0.5000 0.5000  0.67
In 0.0000 0.0000 0.0000  0.02

SG = P4/mmm, No. 123
Raw formation energy = 429.0 kJ/mol of formula units


Compound: InSb2AsI
Source: Alexandria via LeMat-Bulk
Functional: PBE
Structure: optimized geometry

Cell: 5.4056 5.4056 5.9612 Å, 90.00 90.00 90.00°
Atoms (fractional coordinates):
Sb 0.0000 0.5000 0.0000
Sb 0.5000 0.0000 0.0000
In 0.5000 0.5000 0.5000
As 0.0000 0.0000 0.0000
I 0.0000 0.0000 0.5000

SG = P4/mmm, No. 123
Raw formation energy = 207.9 kJ/mol of formula units


Compound: InAs2SeI
Source: Alexandria via LeMat-Bulk
Functional: PBE
Structure: optimized geometry

Cell: 5.3990 5.3990 5.1490 Å, 90.00 90.00 90.00°
Each line ends with the local moment (μB).
Atoms (fractional coordinates):
As 0.5000 0.0000 0.0000  0.13
As 0.0000 0.5000 0.0000  0.13
Se 0.0000 0.0000 0.5000  -0.02
In 0.0000 0.0000 0.0000  0.00
I 0.5000 0.5000 0.5000  -0.01

SG = P4/mmm, No. 123
Raw formation energy = 352.9 kJ/mol of formula units


Compound: InAsSe2I
Source: Alexandria via LeMat-Bulk
Functional: PBE
Structure: optimized geometry

Cell: 5.2218 5.5610 5.2218 Å, 90.00 90.00 90.00°
Atoms (fractional coordinates):
Se 0.0000 0.0000 0.5000
Se 0.5000 0.0000 0.0000
As 0.0000 0.5000 0.0000
In 0.0000 0.0000 0.0000
I 0.5000 0.5000 0.5000

SG = P4/mmm, No. 123
Raw formation energy = 282.3 kJ/mol of formula units